Below is NpCrCuO6 after structural relaxation, with properties calculated at the GGA+U level.

The value obtained for the energy is -70.48 eV/f.u. Its spin magnetization is 2.00 μB/f.u.

The structure belongs to space group P-31c (No. 163); the cell edges are 5.1385, 5.1385 and 9.0503 Å and the angles 90.00°, 90.00° and 120.00°. The distinct sites, in fractional coordinates, are Np at (0.3333, 0.6667, 0.2500), Cr at (0.0000, 0.0000, 0.0000), Cu at (0.3333, 0.6667, 0.7500) and O at (0.0074, 0.3305, 0.1258).